Record 1
# MgCdBr2 (PBE-GGA, optimized geometry)
data_MgCdBr2
_cell_length_a 3.447
_cell_length_b 3.446
_cell_length_c 10.105
_cell_angle_alpha 90.00
_cell_angle_beta 90.00
_cell_angle_gamma 90.00
_symmetry_space_group_name_H-M 'P 1'
_symmetry_Int_Tables_number 1
loop_
_symmetry_equiv_pos_as_xyz
'x,y,z'
loop_
_atom_site_label
_atom_site_type_symbol
_atom_site_fract_x
_atom_site_fract_y
_atom_site_fract_z
Br1 Br 0.000 0.000 0.911
Br2 Br 0.000 0.000 0.589
Cd1 Cd 0.500 0.500 0.250
Mg1 Mg 0.500 0.500 0.750
# Raw formation energy: -261 kJ/mol of formula units
# Theoretical density: 4.10 g/cm3
# Spin magnetization: 0.000 μB per formula unit
# Distance to the lowest polymorph of the same formula: 299 meV/atom

Record 2
# MgCdBr2 (PBE-GGA, optimized geometry)
data_MgCdBr2
_cell_length_a 3.734
_cell_length_b 5.814
_cell_length_c 6.318
_cell_angle_alpha 67.10
_cell_angle_beta 90.00
_cell_angle_gamma 90.00
_symmetry_space_group_name_H-M 'P 1'
_symmetry_Int_Tables_number 1
loop_
_symmetry_equiv_pos_as_xyz
'x,y,z'
loop_
_atom_site_label
_atom_site_type_symbol
_atom_site_fract_x
_atom_site_fract_y
_atom_site_fract_z
Br1 Br 0.000 0.904 0.943
Br2 Br 0.500 0.245 0.341
Cd1 Cd 0.000 0.520 0.526
Mg1 Mg 0.500 0.831 0.690
# Raw formation energy: -320 kJ/mol of formula units
# Theoretical density: 3.90 g/cm3
# Spin magnetization: 0.000 μB per formula unit
# Distance to the lowest polymorph of the same formula: 144 meV/atom

Record 3
# Mg2CdBr (PBE-GGA, optimized geometry)
data_Mg2CdBr
_cell_length_a 5.311
_cell_length_b 5.311
_cell_length_c 5.311
_cell_angle_alpha 60.00
_cell_angle_beta 60.00
_cell_angle_gamma 60.00
_symmetry_space_group_name_H-M 'P 1'
_symmetry_Int_Tables_number 1
loop_
_symmetry_equiv_pos_as_xyz
'x,y,z'
loop_
_atom_site_label
_atom_site_type_symbol
_atom_site_fract_x
_atom_site_fract_y
_atom_site_fract_z
Mg1 Mg 0.250 0.250 0.250
Mg2 Mg 0.750 0.750 0.750
Br1 Br 0.000 0.000 0.000
Cd1 Cd 0.500 0.500 0.500
# Raw formation energy: -16 kJ/mol of formula units
# Theoretical density: 3.78 g/cm3
# Spin magnetization: 0.000 μB per formula unit
# Distance to the lowest polymorph of the same formula: 376 meV/atom

Record 4
# MgCdBr2 (PBE-GGA, optimized geometry)
data_MgCdBr2
_cell_length_a 7.968
_cell_length_b 7.968
_cell_length_c 7.579
_cell_angle_alpha 58.29
_cell_angle_beta 58.29
_cell_angle_gamma 90.00
_symmetry_space_group_name_H-M 'P 1'
_symmetry_Int_Tables_number 1
loop_
_symmetry_equiv_pos_as_xyz
'x,y,z'
loop_
_atom_site_label
_atom_site_type_symbol
_atom_site_fract_x
_atom_site_fract_y
_atom_site_fract_z
Mg1 Mg 0.500 0.500 0.000
Mg2 Mg 0.250 0.750 0.500
Br1 Br 0.491 0.125 0.250
Br2 Br 0.259 0.625 0.250
Br3 Br 0.375 0.509 0.750
Br4 Br 0.875 0.741 0.750
Cd1 Cd 0.000 0.000 0.000
Cd2 Cd 0.750 0.250 0.500
# Raw formation energy: -326 kJ/mol of formula units
# Theoretical density: 3.06 g/cm3
# Spin magnetization: 0.000 μB per formula unit
# Distance to the lowest polymorph of the same formula: 130 meV/atom

Record 5
# MgCd5Br12 (PBE-GGA, optimized geometry)
data_MgCd5Br12
_cell_length_a 6.966
_cell_length_b 6.972
_cell_length_c 13.959
_cell_angle_alpha 89.96
_cell_angle_beta 89.93
_cell_angle_gamma 60.03
_symmetry_space_group_name_H-M 'P 1'
_symmetry_Int_Tables_number 1
loop_
_symmetry_equiv_pos_as_xyz
'x,y,z'
loop_
_atom_site_label
_atom_site_type_symbol
_atom_site_fract_x
_atom_site_fract_y
_atom_site_fract_z
Mg1 Mg 0.000 0.000 0.000
Cd1 Cd 0.500 0.000 0.500
Cd2 Cd 0.167 0.667 0.500
Cd3 Cd 0.833 0.333 0.500
Cd4 Cd 0.667 0.667 0.000
Cd5 Cd 0.333 0.333 0.000
Br1 Br 0.834 0.000 0.386
Br2 Br 0.166 0.000 0.614
Br3 Br 0.679 0.000 0.889
Br4 Br 0.321 0.000 0.111
Br5 Br 0.322 0.678 0.889
Br6 Br 0.000 0.678 0.111
Br7 Br 0.000 0.322 0.889
Br8 Br 0.678 0.322 0.111
Br9 Br 0.500 0.333 0.614
Br10 Br 0.833 0.667 0.614
Br11 Br 0.167 0.333 0.386
Br12 Br 0.500 0.667 0.386
# Raw formation energy: -1667 kJ/mol of formula units
# Theoretical density: 4.37 g/cm3
# Spin magnetization: 0.000 μB per formula unit

Record 6
# MgCdBr2 (PBE-GGA, optimized geometry)
data_MgCdBr2
_cell_length_a 3.829
_cell_length_b 3.829
_cell_length_c 10.872
_cell_angle_alpha 80.35
_cell_angle_beta 80.35
_cell_angle_gamma 60.00
_symmetry_space_group_name_H-M 'P 1'
_symmetry_Int_Tables_number 1
loop_
_symmetry_equiv_pos_as_xyz
'x,y,z'
loop_
_atom_site_label
_atom_site_type_symbol
_atom_site_fract_x
_atom_site_fract_y
_atom_site_fract_z
Br1 Br 0.038 0.038 0.893
Br2 Br 0.462 0.462 0.607
Cd1 Cd 0.250 0.250 0.250
Mg1 Mg 0.750 0.750 0.750
# Raw formation energy: -376 kJ/mol of formula units
# Theoretical density: 3.64 g/cm3
# Spin magnetization: 0.000 μB per formula unit
# Distance to the lowest polymorph of the same formula: 0 meV/atom

Record 7
# Mg2CdBr6 (PBE-GGA, optimized geometry)
data_Mg2CdBr6
_cell_length_a 6.937
_cell_length_b 6.824
_cell_length_c 6.824
_cell_angle_alpha 120.00
_cell_angle_beta 90.00
_cell_angle_gamma 90.00
_symmetry_space_group_name_H-M 'P 1'
_symmetry_Int_Tables_number 1
loop_
_symmetry_equiv_pos_as_xyz
'x,y,z'
loop_
_atom_site_label
_atom_site_type_symbol
_atom_site_fract_x
_atom_site_fract_y
_atom_site_fract_z
Mg1 Mg 0.500 0.333 0.667
Mg2 Mg 0.500 0.667 0.333
Cd1 Cd 0.500 0.000 0.000
Br1 Br 0.279 0.655 0.000
Br2 Br 0.279 0.345 0.345
Br3 Br 0.279 0.000 0.655
Br4 Br 0.721 0.345 0.000
Br5 Br 0.721 0.655 0.655
Br6 Br 0.721 0.000 0.345
# Raw formation energy: -1104 kJ/mol of formula units
# Theoretical density: 3.80 g/cm3
# Spin magnetization: 0.000 μB per formula unit
# Distance to the lowest polymorph of the same formula: 0 meV/atom

Record 8
# MgCd2Br (PBE-GGA, optimized geometry)
data_MgCd2Br
_cell_length_a 3.490
_cell_length_b 3.490
_cell_length_c 8.141
_cell_angle_alpha 90.00
_cell_angle_beta 90.00
_cell_angle_gamma 90.00
_symmetry_space_group_name_H-M 'P 1'
_symmetry_Int_Tables_number 1
loop_
_symmetry_equiv_pos_as_xyz
'x,y,z'
loop_
_atom_site_label
_atom_site_type_symbol
_atom_site_fract_x
_atom_site_fract_y
_atom_site_fract_z
Br1 Br 0.500 0.500 0.750
Cd1 Cd 0.000 0.000 0.015
Cd2 Cd 0.000 0.000 0.485
Mg1 Mg 0.500 0.500 0.250
# Raw formation energy: -73 kJ/mol of formula units
# Theoretical density: 5.51 g/cm3
# Spin magnetization: 0.000 μB per formula unit
# Distance to the lowest polymorph of the same formula: 190 meV/atom

Record 9
# MgCdBr4 (PBE-GGA, optimized geometry)
data_MgCdBr4
_cell_length_a 6.421
_cell_length_b 6.421
_cell_length_c 6.421
_cell_angle_alpha 60.00
_cell_angle_beta 60.00
_cell_angle_gamma 60.00
_symmetry_space_group_name_H-M 'P 1'
_symmetry_Int_Tables_number 1
loop_
_symmetry_equiv_pos_as_xyz
'x,y,z'
loop_
_atom_site_label
_atom_site_type_symbol
_atom_site_fract_x
_atom_site_fract_y
_atom_site_fract_z
Mg1 Mg 0.000 0.000 0.000
Cd1 Cd 0.750 0.750 0.750
Br1 Br 0.875 0.375 0.375
Br2 Br 0.375 0.375 0.875
Br3 Br 0.375 0.875 0.375
Br4 Br 0.375 0.375 0.375
# Raw formation energy: 178 kJ/mol of formula units
# Theoretical density: 4.05 g/cm3
# Spin magnetization: 2.333 μB per formula unit
# Distance to the lowest polymorph of the same formula: 1473 meV/atom

Record 10
# MgCdBr2 (PBE-GGA, optimized geometry)
data_MgCdBr2
_cell_length_a 6.257
_cell_length_b 6.257
_cell_length_c 6.257
_cell_angle_alpha 146.50
_cell_angle_beta 113.74
_cell_angle_gamma 76.33
_symmetry_space_group_name_H-M 'P 1'
_symmetry_Int_Tables_number 1
loop_
_symmetry_equiv_pos_as_xyz
'x,y,z'
loop_
_atom_site_label
_atom_site_type_symbol
_atom_site_fract_x
_atom_site_fract_y
_atom_site_fract_z
Br1 Br 0.058 0.058 0.000
Br2 Br 0.709 0.209 0.500
Cd1 Cd 0.487 0.487 0.000
Mg1 Mg 0.245 0.745 0.500
# Raw formation energy: -265 kJ/mol of formula units
# Theoretical density: 4.06 g/cm3
# Spin magnetization: 0.000 μB per formula unit
# Distance to the lowest polymorph of the same formula: 288 meV/atom

Record 11
# Mg2CdBr (PBE-GGA, optimized geometry)
data_Mg2CdBr
_cell_length_a 6.469
_cell_length_b 6.469
_cell_length_c 6.469
_cell_angle_alpha 142.06
_cell_angle_beta 142.06
_cell_angle_gamma 54.74
_symmetry_space_group_name_H-M 'P 1'
_symmetry_Int_Tables_number 1
loop_
_symmetry_equiv_pos_as_xyz
'x,y,z'
loop_
_atom_site_label
_atom_site_type_symbol
_atom_site_fract_x
_atom_site_fract_y
_atom_site_fract_z
Br1 Br 0.500 0.500 0.000
Cd1 Cd 0.750 0.250 0.500
Mg1 Mg 0.000 0.000 0.000
Mg2 Mg 0.250 0.750 0.500
# Raw formation energy: -72 kJ/mol of formula units
# Theoretical density: 3.94 g/cm3
# Spin magnetization: 0.000 μB per formula unit
# Distance to the lowest polymorph of the same formula: 230 meV/atom

Record 12
# MgCdBr2 (PBE-GGA, optimized geometry)
data_MgCdBr2
_cell_length_a 4.011
_cell_length_b 4.011
_cell_length_c 11.223
_cell_angle_alpha 90.00
_cell_angle_beta 90.00
_cell_angle_gamma 124.55
_symmetry_space_group_name_H-M 'P 1'
_symmetry_Int_Tables_number 1
loop_
_symmetry_equiv_pos_as_xyz
'x,y,z'
loop_
_atom_site_label
_atom_site_type_symbol
_atom_site_fract_x
_atom_site_fract_y
_atom_site_fract_z
Br1 Br 0.000 0.000 0.907
Br2 Br 0.000 0.000 0.593
Cd1 Cd 0.500 0.500 0.250
Mg1 Mg 0.500 0.500 0.750
# Raw formation energy: -308 kJ/mol of formula units
# Theoretical density: 3.31 g/cm3
# Spin magnetization: 0.000 μB per formula unit
# Distance to the lowest polymorph of the same formula: 175 meV/atom

Record 13
# Mg2CdBr (PBE-GGA, optimized geometry)
data_Mg2CdBr
_cell_length_a 3.390
_cell_length_b 6.256
_cell_length_c 4.893
_cell_angle_alpha 90.00
_cell_angle_beta 90.00
_cell_angle_gamma 90.00
_symmetry_space_group_name_H-M 'P 1'
_symmetry_Int_Tables_number 1
loop_
_symmetry_equiv_pos_as_xyz
'x,y,z'
loop_
_atom_site_label
_atom_site_type_symbol
_atom_site_fract_x
_atom_site_fract_y
_atom_site_fract_z
Br1 Br 0.500 0.000 0.500
Cd1 Cd 0.000 0.500 0.500
Mg1 Mg 0.000 0.000 0.000
Mg2 Mg 0.500 0.500 0.000
# Raw formation energy: -66 kJ/mol of formula units
# Theoretical density: 3.86 g/cm3
# Spin magnetization: 0.000 μB per formula unit
# Distance to the lowest polymorph of the same formula: 245 meV/atom

Record 14
# MgCdBr2 (PBE-GGA, optimized geometry)
data_MgCdBr2
_cell_length_a 3.912
_cell_length_b 3.912
_cell_length_c 9.687
_cell_angle_alpha 90.00
_cell_angle_beta 90.00
_cell_angle_gamma 121.19
_symmetry_space_group_name_H-M 'P 1'
_symmetry_Int_Tables_number 1
loop_
_symmetry_equiv_pos_as_xyz
'x,y,z'
loop_
_atom_site_label
_atom_site_type_symbol
_atom_site_fract_x
_atom_site_fract_y
_atom_site_fract_z
Br1 Br 0.000 0.000 0.926
Br2 Br 0.500 0.500 0.314
Cd1 Cd 0.000 0.000 0.509
Mg1 Mg 0.500 0.500 0.751
# Raw formation energy: -249 kJ/mol of formula units
# Theoretical density: 3.88 g/cm3
# Spin magnetization: 0.000 μB per formula unit
# Distance to the lowest polymorph of the same formula: 328 meV/atom

Record 15
# Mg2CdBr (PBE-GGA, optimized geometry)
data_Mg2CdBr
_cell_length_a 5.476
_cell_length_b 3.337
_cell_length_c 5.473
_cell_angle_alpha 89.98
_cell_angle_beta 90.00
_cell_angle_gamma 90.00
_symmetry_space_group_name_H-M 'P 1'
_symmetry_Int_Tables_number 1
loop_
_symmetry_equiv_pos_as_xyz
'x,y,z'
loop_
_atom_site_label
_atom_site_type_symbol
_atom_site_fract_x
_atom_site_fract_y
_atom_site_fract_z
Br1 Br 0.000 0.263 0.375
Cd1 Cd 0.500 0.748 0.876
Mg1 Mg 0.000 0.244 0.874
Mg2 Mg 0.500 0.245 0.375
# Raw formation energy: -114 kJ/mol of formula units
# Theoretical density: 4.00 g/cm3
# Spin magnetization: 0.000 μB per formula unit
# Distance to the lowest polymorph of the same formula: 122 meV/atom

Record 16
# Mg2CdBr (PBE-GGA, optimized geometry)
data_Mg2CdBr
_cell_length_a 3.606
_cell_length_b 3.606
_cell_length_c 8.635
_cell_angle_alpha 78.23
_cell_angle_beta 78.23
_cell_angle_gamma 60.09
_symmetry_space_group_name_H-M 'P 1'
_symmetry_Int_Tables_number 1
loop_
_symmetry_equiv_pos_as_xyz
'x,y,z'
loop_
_atom_site_label
_atom_site_type_symbol
_atom_site_fract_x
_atom_site_fract_y
_atom_site_fract_z
Br1 Br 0.750 0.750 0.750
Cd1 Cd 0.250 0.250 0.250
Mg1 Mg 0.996 0.996 0.003
Mg2 Mg 0.504 0.504 0.497
# Raw formation energy: -156 kJ/mol of formula units
# Theoretical density: 4.23 g/cm3
# Spin magnetization: 0.000 μB per formula unit
# Distance to the lowest polymorph of the same formula: 12 meV/atom

Record 17
# MgCd2Br (PBE-GGA, optimized geometry)
data_MgCd2Br
_cell_length_a 8.820
_cell_length_b 8.820
_cell_length_c 8.820
_cell_angle_alpha 24.35
_cell_angle_beta 24.35
_cell_angle_gamma 24.35
_symmetry_space_group_name_H-M 'P 1'
_symmetry_Int_Tables_number 1
loop_
_symmetry_equiv_pos_as_xyz
'x,y,z'
loop_
_atom_site_label
_atom_site_type_symbol
_atom_site_fract_x
_atom_site_fract_y
_atom_site_fract_z
Br1 Br 0.750 0.750 0.750
Cd1 Cd 0.997 0.997 0.997
Cd2 Cd 0.503 0.503 0.503
Mg1 Mg 0.250 0.250 0.250
# Raw formation energy: -82 kJ/mol of formula units
# Theoretical density: 5.33 g/cm3
# Spin magnetization: 0.000 μB per formula unit
# Distance to the lowest polymorph of the same formula: 168 meV/atom

Record 18
# MgCdBr2 (PBE-GGA, optimized geometry)
data_MgCdBr2
_cell_length_a 7.599
_cell_length_b 7.599
_cell_length_c 6.545
_cell_angle_alpha 59.15
_cell_angle_beta 59.15
_cell_angle_gamma 28.30
_symmetry_space_group_name_H-M 'P 1'
_symmetry_Int_Tables_number 1
loop_
_symmetry_equiv_pos_as_xyz
'x,y,z'
loop_
_atom_site_label
_atom_site_type_symbol
_atom_site_fract_x
_atom_site_fract_y
_atom_site_fract_z
Br1 Br 0.076 0.076 0.883
Br2 Br 0.280 0.280 0.031
Cd1 Cd 0.494 0.494 0.547
Mg1 Mg 0.650 0.650 0.040
# Raw formation energy: -334 kJ/mol of formula units
# Theoretical density: 3.24 g/cm3
# Spin magnetization: 0.000 μB per formula unit
# Distance to the lowest polymorph of the same formula: 110 meV/atom

Record 19
# MgCd2Br (PBE-GGA, optimized geometry)
data_MgCd2Br
_cell_length_a 3.346
_cell_length_b 4.969
_cell_length_c 6.153
_cell_angle_alpha 90.00
_cell_angle_beta 90.00
_cell_angle_gamma 90.00
_symmetry_space_group_name_H-M 'P 1'
_symmetry_Int_Tables_number 1
loop_
_symmetry_equiv_pos_as_xyz
'x,y,z'
loop_
_atom_site_label
_atom_site_type_symbol
_atom_site_fract_x
_atom_site_fract_y
_atom_site_fract_z
Br1 Br 0.000 0.500 0.500
Cd1 Cd 0.000 0.000 0.000
Cd2 Cd 0.500 0.500 0.000
Mg1 Mg 0.500 0.000 0.500
# Raw formation energy: -70 kJ/mol of formula units
# Theoretical density: 5.34 g/cm3
# Spin magnetization: 0.000 μB per formula unit
# Distance to the lowest polymorph of the same formula: 199 meV/atom

Record 20
# Mg2CdBr (PBE-GGA, optimized geometry)
data_Mg2CdBr
_cell_length_a 3.412
_cell_length_b 4.907
_cell_length_c 6.012
_cell_angle_alpha 90.00
_cell_angle_beta 90.00
_cell_angle_gamma 90.00
_symmetry_space_group_name_H-M 'P 1'
_symmetry_Int_Tables_number 1
loop_
_symmetry_equiv_pos_as_xyz
'x,y,z'
loop_
_atom_site_label
_atom_site_type_symbol
_atom_site_fract_x
_atom_site_fract_y
_atom_site_fract_z
Br1 Br 0.000 0.000 0.373
Cd1 Cd 0.500 0.500 0.865
Mg1 Mg 0.000 0.000 0.896
Mg2 Mg 0.500 0.500 0.366
# Raw formation energy: -97 kJ/mol of formula units
# Theoretical density: 3.97 g/cm3
# Spin magnetization: 0.000 μB per formula unit
# Distance to the lowest polymorph of the same formula: 166 meV/atom